This record from Alexandria describes LaAl2Br at its PBEsol-relaxed geometry. The functional is meta-GGA SCAN.

Unit cell a=4.1099 b=4.1099 c=5.5867 alpha=90.00 beta=90.00 gamma=90.00
Space group P4/mmm (No. 123)
Symmetry-distinct sites (fractional):
La: 0.0000 0.0000 0.0000 x1
Al: 0.0000 0.5000 0.5000 x2
Br: 0.5000 0.5000 0.0000 x1

* E_form (uncorrected): -396 meV per atom
* E above lowest polymorph: 0.0 meV per atom
* total magnetization: 0.10 μB per formula unit